(1)
# Pm6Er3In

Pm6Er3In after structural relaxation (GGA-PBE, Alexandria via LeMat-Bulk).

Unit cell a=12.901 b=3.531 c=14.394 alpha=90.00 beta=100.46 gamma=90.00
Fractional positions:
1 Pm 0.009 0.250 0.309
2 Pm 0.159 0.250 0.884
3 Pm 0.251 0.750 0.303
4 Pm 0.270 0.750 0.714
5 Pm 0.311 0.750 0.075
6 Pm 0.387 0.250 0.534
7 Pm 0.613 0.750 0.466
8 Pm 0.689 0.250 0.925
9 Pm 0.730 0.250 0.286
10 Pm 0.749 0.250 0.697
11 Pm 0.841 0.750 0.116
12 Pm 0.991 0.750 0.691
13 Er 0.079 0.250 0.096
14 Er 0.129 0.750 0.501
15 Er 0.429 0.250 0.894
16 Er 0.571 0.750 0.106
17 Er 0.871 0.250 0.499
18 Er 0.921 0.750 0.904
19 In 0.468 0.250 0.273
20 In 0.532 0.750 0.727

## Properties
Density of states at the Fermi level   1.341 states/eV per atom
ρ   7.7 Mg/m³
E_tot   -4.50 eV/atom

(2)
# Pm4ErIn5

Pm4ErIn5 after structural relaxation (GGA-PBE, Alexandria via LeMat-Bulk).

Unit cell a=3.813 b=3.813 c=19.256 alpha=90.00 beta=90.00 gamma=90.00
Fractional positions:
1 Pm 0.000 0.000 0.102
2 Pm 0.000 0.000 0.305
3 Pm 0.000 0.000 0.695
4 Pm 0.000 0.000 0.898
5 Er 0.000 0.000 0.500
6 In 0.500 0.500 0.000
7 In 0.500 0.500 0.203
8 In 0.500 0.500 0.408
9 In 0.500 0.500 0.592
10 In 0.500 0.500 0.797

## Properties
Density of states at the Fermi level   0.547 states/eV per atom
ρ   7.8 Mg/m³
E_tot   -4.21 eV/atom

(3)
# Pm2Er3In3

Pm2Er3In3 after structural relaxation (GGA-PBE, Alexandria via LeMat-Bulk).

Unit cell a=10.639 b=10.639 c=10.639 alpha=155.43 beta=153.58 gamma=36.39
Fractional positions:
1 Pm 0.241 0.241 0.000
2 Pm 0.759 0.759 0.000
3 Er 0.000 0.000 0.000
4 Er 0.383 0.883 0.500
5 Er 0.617 0.117 0.500
6 In 0.122 0.622 0.500
7 In 0.500 0.500 0.000
8 In 0.878 0.378 0.500

## Properties
Density of states at the Fermi level   0.819 states/eV per atom
ρ   8.5 Mg/m³
Offset from the most stable computed form   4 meV/atom

(4)
# Pm5ErIn4

Pm5ErIn4 after structural relaxation (GGA-PBE, Alexandria via LeMat-Bulk).

Unit cell a=3.635 b=3.635 c=22.289 alpha=90.00 beta=90.00 gamma=90.00
Fractional positions:
1 Pm 0.000 0.000 0.000
2 Pm 0.000 0.000 0.194
3 Pm 0.000 0.000 0.386
4 Pm 0.000 0.000 0.614
5 Pm 0.000 0.000 0.806
6 Er 0.500 0.500 0.500
7 In 0.500 0.500 0.097
8 In 0.500 0.500 0.291
9 In 0.500 0.500 0.709
10 In 0.500 0.500 0.903

## Properties
Density of states at the Fermi level   0.887 states/eV per atom
ρ   7.6 Mg/m³
E_tot   -4.31 eV/atom

(5)
# Pm5Er12In2

Pm5Er12In2 after structural relaxation (GGA-PBE, Alexandria via LeMat-Bulk).

Unit cell a=8.970 b=8.970 c=8.325 alpha=91.71 beta=91.71 gamma=62.33
Fractional positions:
1 Pm 0.000 0.000 0.000
2 Pm 0.234 0.234 0.076
3 Pm 0.305 0.305 0.489
4 Pm 0.695 0.695 0.511
5 Pm 0.766 0.766 0.924
6 Er 0.039 0.671 0.264
7 Er 0.079 0.079 0.381
8 Er 0.180 0.567 0.832
9 Er 0.329 0.961 0.736
10 Er 0.433 0.820 0.168
11 Er 0.446 0.446 0.174
12 Er 0.554 0.554 0.826
13 Er 0.567 0.180 0.832
14 Er 0.671 0.039 0.264
15 Er 0.820 0.433 0.168
16 Er 0.921 0.921 0.619
17 Er 0.961 0.329 0.736
18 In 0.321 0.679 0.500
19 In 0.679 0.321 0.500

## Properties
Density of states at the Fermi level   1.397 states/eV per atom
ρ   8.3 Mg/m³
E_tot   -4.43 eV/atom

(6)
# Pm14ErIn

Pm14ErIn after structural relaxation (GGA-PBE, Alexandria via LeMat-Bulk).

Unit cell a=10.242 b=7.197 c=7.197 alpha=90.00 beta=90.00 gamma=90.00
Fractional positions:
1 Pm 0.000 0.000 0.000
2 Pm 0.000 0.000 0.500
3 Pm 0.000 0.500 0.000
4 Pm 0.000 0.500 0.500
5 Pm 0.255 0.248 0.751
6 Pm 0.255 0.249 0.249
7 Pm 0.255 0.751 0.248
8 Pm 0.255 0.751 0.751
9 Pm 0.500 0.000 0.499
10 Pm 0.500 0.499 0.000
11 Pm 0.745 0.248 0.751
12 Pm 0.745 0.249 0.249
13 Pm 0.745 0.751 0.248
14 Pm 0.745 0.751 0.751
15 Er 0.500 0.500 0.500
16 In 0.500 0.000 0.000

## Properties
Density of states at the Fermi level   1.317 states/eV per atom
ρ   7.2 Mg/m³
E_tot   -4.65 eV/atom

Number 1: calculated volume 32.244 Å³/atom. Number 2: calculated volume 28.001 Å³/atom. Number 3: calculated volume 27.817 Å³/atom. Number 4: calculated volume 29.452 Å³/atom. Number 5: calculated volume 31.200 Å³/atom. Number 6: calculated volume 33.153 Å³/atom.